Entry from Alexandria: Rb2BeNiF6 after structural relaxation (PBE+U).

Unit cell a=5.451 b=5.451 c=9.245 alpha=90.00 beta=90.00 gamma=90.00
Space group I4/mmm (No. 139)
One atom of each set of equivalent atoms:
Rb1 0.000 0.500 0.250 (multiplicity 4)
Be1 0.000 0.000 0.000 (multiplicity 2)
Ni1 0.000 0.000 0.500 (multiplicity 2)
F1 0.000 0.000 0.289 (multiplicity 4)
F2 0.219 0.219 0.000 (multiplicity 8)

Values from the calculation:
* M_tot: 2.0 μB per formula unit
* uncorrected energy: -4.56 eV per atom
* volume: 13.74 A^3/atom
* mass density: 4.263 g/cm³